(1)
Below is crystalline NdAl4IrPt2 at its relaxed geometry, with properties calculated at the GGA-PBE level.

Cell lengths 4.2651, 4.2651, 26.9366 Å; angles 90.00, 90.00, 120.00 degrees
Space group R-3m (No. 166, hexagonal axes)
One atom of each set of equivalent atoms:
Nd 0.0000 0.0000 0.0000 x3
Al 0.0000 0.0000 0.1337 x6
Al 0.0000 0.0000 0.4043 x6
Ir 0.0000 0.0000 0.5000 x3
Pt 0.0000 0.0000 0.2331 x6

Calculated values
Total DFT energy (no corrections): -5.98 eV per atom

(2)
Below is crystalline Nd2Al4Ir3Rh at its relaxed geometry, with properties calculated at the GGA-PBE level.

Cell lengths 4.2814, 4.2814, 10.2154 Å; angles 90.00, 90.00, 90.00 degrees
Space group P-4m2 (No. 115)
One atom of each set of equivalent atoms:
Nd 0.0000 0.5000 0.2410 x2
Al 0.0000 0.0000 0.5000 x1
Al 0.0000 0.5000 0.8795 x2
Al 0.5000 0.5000 0.5000 x1
Ir 0.0000 0.0000 0.0000 x1
Ir 0.0000 0.5000 0.6337 x2
Rh 0.5000 0.5000 0.0000 x1

Calculated values
Total DFT energy (no corrections): -6.73 eV per atom

(3)
Below is crystalline NdAl4IrRh2 at its relaxed geometry, with properties calculated at the GGA-PBE level.

Cell lengths 4.2214, 4.2214, 26.8635 Å; angles 90.00, 90.00, 120.00 degrees
Space group R-3m (No. 166, hexagonal axes)
One atom of each set of equivalent atoms:
Nd 0.0000 0.0000 0.0000 x3
Al 0.0000 0.0000 0.1333 x6
Al 0.0000 0.0000 0.4061 x6
Ir 0.0000 0.0000 0.5000 x3
Rh 0.0000 0.0000 0.2329 x6

Calculated values
Total DFT energy (no corrections): -6.28 eV per atom

(4)
Below is crystalline NdAl4IrRu2 at its relaxed geometry, with properties calculated at the GGA-PBE level.

Cell lengths 4.2424, 4.2424, 26.4595 Å; angles 90.00, 90.00, 120.00 degrees
Space group R-3m (No. 166, hexagonal axes)
One atom of each set of equivalent atoms:
Nd 0.0000 0.0000 0.0000 x3
Al 0.0000 0.0000 0.1325 x6
Al 0.0000 0.0000 0.4063 x6
Ir 0.0000 0.0000 0.5000 x3
Ru 0.0000 0.0000 0.2353 x6

Calculated values
Total DFT energy (no corrections): -6.53 eV per atom

(5)
Below is crystalline Nd2AlSi4Ir3 at its relaxed geometry, with properties calculated at the GGA-PBE level.

Cell lengths 4.1666, 4.1666, 10.2153 Å; angles 90.00, 90.00, 90.00 degrees
Space group P-4m2 (No. 115)
One atom of each set of equivalent atoms:
Nd 0.0000 0.5000 0.2421 x2
Al 0.0000 0.0000 0.5000 x1
Si 0.0000 0.0000 0.0000 x1
Si 0.0000 0.5000 0.6434 x2
Si 0.5000 0.5000 0.0000 x1
Ir 0.0000 0.5000 0.8789 x2
Ir 0.5000 0.5000 0.5000 x1

Calculated values
E_form (uncorrected): -0.91 eV per atom
Total DFT energy (no corrections): -7.06 eV per atom

(6)
Below is crystalline Nd2AlSi2Ir5 at its relaxed geometry, with properties calculated at the GGA-PBE level.

Cell lengths 9.8488, 9.8488, 3.5329 Å; angles 90.00, 90.00, 90.00 degrees
Space group P4/mbm (No. 127)
One atom of each set of equivalent atoms:
Nd 0.1763 0.3237 0.0000 x4
Al 0.0000 0.0000 0.0000 x2
Si 0.1229 0.6229 0.0000 x4
Ir 0.0000 0.5000 0.5000 x2
Ir 0.0655 0.7881 0.5000 x8

Calculated values
E_form (uncorrected): -0.75 eV per atom
Total DFT energy (no corrections): -7.59 eV per atom

(7)
Below is crystalline NdTaAlIr2 at its relaxed geometry, with properties calculated at the GGA-PBE level.

Cell lengths 4.1857, 4.1857, 11.3352 Å; angles 90.00, 90.00, 90.00 degrees
Space group I-4m2 (No. 119)
One atom of each set of equivalent atoms:
Nd 0.0000 0.0000 0.0000 x2
Ta 0.0000 0.5000 0.7500 x2
Al 0.0000 0.5000 0.2500 x2
Ir 0.0000 0.0000 0.3845 x4

Calculated values
Total DFT energy (no corrections): -8.36 eV per atom

(8)
Below is crystalline NdTiAlIr2 at its relaxed geometry, with properties calculated at the GGA-PBE level.

Cell lengths 4.0876, 4.0876, 11.5162 Å; angles 90.00, 90.00, 90.00 degrees
Space group I-4m2 (No. 119)
One atom of each set of equivalent atoms:
Nd 0.0000 0.0000 0.0000 x2
Ti 0.0000 0.5000 0.7500 x2
Al 0.0000 0.5000 0.2500 x2
Ir 0.0000 0.0000 0.3835 x4

Calculated values
Total DFT energy (no corrections): -7.68 eV per atom